Record 1
YAsBrO4 | PBE | relaxed

abc: 6.6408 6.6408 6.8014
angles: 79.25 79.25 57.21
Sites, in units of the cell vectors:
O 0.2946 0.2946 0.5072
O 0.5236 0.1131 0.1266
O 0.4878 0.4878 0.7656
O 0.4764 0.8869 0.8734
O 0.5122 0.5122 0.2344
O 0.1131 0.5236 0.1266
O 0.8869 0.4764 0.8734
O 0.7054 0.7054 0.4928
Br 0.9783 0.9783 0.6727
Br 0.0217 0.0217 0.3273
As 0.3646 0.3646 0.2626
As 0.6354 0.6354 0.7374
Y 0.2974 0.2974 0.8295
Y 0.7026 0.7026 0.1705

Summary:
For the energy relative to the elements, uncorrected, the calculation gives -1.896 eV per atom. Its volume is 246 Å³ per cell.



Record 2
YAsBr2O | PBE | relaxed

abc: 4.6877 4.6877 4.6817
angles: 90.00 90.00 90.00
Sites, in units of the cell vectors:
As 0.0000 0.0000 0.5000
O 0.0000 0.0000 0.0000
Br 0.0000 0.5000 0.0000
Br 0.5000 0.0000 0.0000
Y 0.5000 0.5000 0.5000

Summary:
For the energy relative to the elements, uncorrected, the calculation gives -0.308 eV per atom. Its volume is 103 Å³ per cell. The distance to the lowest polymorph of the same formula comes out at 0.0 meV/atom.



Record 3
YAs2BrO | PBE | relaxed

abc: 4.1805 4.1805 5.7539
angles: 90.00 90.00 90.00
Sites, in units of the cell vectors:
Y 0.5000 0.5000 0.5000
Br 0.0000 0.0000 0.5000
As 0.5000 0.0000 0.0000
As 0.0000 0.5000 0.0000
O 0.0000 0.0000 0.0000

Summary:
For the energy relative to the elements, uncorrected, the calculation gives -0.559 eV per atom. Its volume is 101 Å³ per cell. The distance to the lowest polymorph of the same formula comes out at 0.0 meV/atom.



Record 4
YAs2BrO | PBE | relaxed

abc: 5.6240 5.6240 5.5802
angles: 90.00 90.00 90.00
Sites, in units of the cell vectors:
Y 0.0000 0.0000 0.0000
Br 0.0000 0.0000 0.5000
As 0.5000 0.0000 0.0000
As 0.0000 0.5000 0.0000
O 0.5000 0.5000 0.5000

Summary:
For the energy relative to the elements, uncorrected, the calculation gives 0.490 eV per atom. Its volume is 176 Å³ per cell. The distance to the lowest polymorph of the same formula comes out at 1048.6 meV/atom.



Record 5
YAsBr2O | PBE | relaxed

abc: 5.4637 5.4637 5.9620
angles: 90.00 90.00 90.00
Sites, in units of the cell vectors:
Br 0.0000 0.5000 0.0000
Br 0.5000 0.0000 0.0000
Y 0.0000 0.0000 0.0000
O 0.5000 0.5000 0.5000
As 0.0000 0.0000 0.5000

Summary:
For the energy relative to the elements, uncorrected, the calculation gives -0.047 eV per atom. Its volume is 178 Å³ per cell. The distance to the lowest polymorph of the same formula comes out at 261.3 meV/atom.



Record 6
ZnAsBr2O | PBE | relaxed

abc: 5.9326 5.9326 3.6576
angles: 90.00 90.00 90.00
Sites, in units of the cell vectors:
Zn 0.5000 0.5000 0.5000
As 0.0000 0.0000 0.5000
Br 0.0000 0.5000 0.0000
Br 0.5000 0.0000 0.0000
O 0.0000 0.0000 0.0000

Summary:
For the energy relative to the elements, uncorrected, the calculation gives 0.280 eV per atom. Its volume is 129 Å³ per cell. The distance to the lowest polymorph of the same formula comes out at 0.0 meV/atom.



Record 7
ZnAsBr2O | PBE | relaxed

abc: 4.9116 4.9116 5.1340
angles: 90.00 90.00 90.00
Sites, in units of the cell vectors:
Br 0.5000 0.0000 0.0000
Br 0.0000 0.5000 0.0000
O 0.5000 0.5000 0.5000
As 0.0000 0.0000 0.5000
Zn 0.0000 0.0000 0.0000

Summary:
For the energy relative to the elements, uncorrected, the calculation gives 0.823 eV per atom. Its volume is 124 Å³ per cell. The distance to the lowest polymorph of the same formula comes out at 542.9 meV/atom.



Record 8
ZrAs2BrO | PBE | relaxed

abc: 5.4757 4.0004 5.4757
angles: 90.00 90.00 90.00
Sites, in units of the cell vectors:
O 0.0000 0.5000 0.0000
Br 0.5000 0.5000 0.5000
As 0.5000 0.0000 0.0000
As 0.0000 0.0000 0.5000
Zr 0.0000 0.0000 0.0000

Summary:
For the energy relative to the elements, uncorrected, the calculation gives -0.474 eV per atom. Its volume is 120 Å³ per cell. The distance to the lowest polymorph of the same formula comes out at 0.0 meV/atom.



Record 9
ZrAs2BrO | PBE | relaxed

abc: 4.1187 4.1187 5.4520
angles: 90.00 90.00 90.00
Sites, in units of the cell vectors:
As 0.0000 0.5000 0.0000
As 0.5000 0.0000 0.0000
Br 0.0000 0.0000 0.5000
O 0.0000 0.0000 0.0000
Zr 0.5000 0.5000 0.5000

Summary:
For the energy relative to the elements, uncorrected, the calculation gives -0.152 eV per atom. Its volume is 92 Å³ per cell. The distance to the lowest polymorph of the same formula comes out at 322.5 meV/atom.



Record 10
ZrAs2BrO | PBE | relaxed

abc: 5.2517 5.2517 5.2636
angles: 90.00 90.00 90.00
Sites, in units of the cell vectors:
Br 0.0000 0.0000 0.5000
O 0.5000 0.5000 0.5000
Zr 0.0000 0.0000 0.0000
As 0.0000 0.5000 0.0000
As 0.5000 0.0000 0.0000

Summary:
For the energy relative to the elements, uncorrected, the calculation gives 0.461 eV per atom. Its volume is 145 Å³ per cell. The distance to the lowest polymorph of the same formula comes out at 935.1 meV/atom.



Record 11
AsOs2Br | PBE | relaxed

abc: 6.0249 6.0249 6.0249
angles: 152.24 137.37 51.64
Sites, in units of the cell vectors:
Br 0.2368 0.7368 0.5000
As 0.5332 0.5332 0.0000
Os 0.9655 0.9655 0.0000
Os 0.7645 0.2645 0.5000

Summary:
For the energy relative to the elements, uncorrected, the calculation gives 1.011 eV per atom. Its volume is 69 Å³ per cell. The distance to the lowest polymorph of the same formula comes out at 615.9 meV/atom.



Record 12
AsOs2Br | PBE | relaxed

abc: 4.4598 4.4598 4.4598
angles: 60.00 60.00 60.00
Sites, in units of the cell vectors:
Os 0.7500 0.7500 0.7500
Os 0.2500 0.2500 0.2500
As 0.0000 0.0000 0.0000
Br 0.5000 0.5000 0.5000

Summary:
For the energy relative to the elements, uncorrected, the calculation gives 1.164 eV per atom. Its volume is 63 Å³ per cell. The distance to the lowest polymorph of the same formula comes out at 768.8 meV/atom.